Record 1
Computed, not measured: a relaxed CePmY2As4 crystal at the GGA-PBE level of DFT.

The structure in extended XYZ format:
```
8
Lattice="7.2218 0.0000 0.0000 0.0000 4.1785 0.0000 -2.4098 0.0000 6.8245" Properties=species:S:1:pos:R:3 pbc="T T T"
Ce 0.0000 0.0000 0.0000
Pm -1.2049 2.0892 3.4122
Y 2.4060 0.0000 3.4122
Y 3.6109 2.0892 0.0000
As 1.2349 2.0892 1.7048
As 0.0238 0.0000 5.1463
As 4.7882 0.0000 1.6782
As 3.5772 2.0892 5.1197
```

## Properties
- SG: P2/m

---

Record 2
Computed, not measured: a relaxed Ce2PmYAs4 crystal at the GGA-PBE level of DFT.

The structure in extended XYZ format:
```
8
Lattice="7.2660 0.0000 0.0000 0.0000 4.2002 0.0000 -2.4278 0.0000 6.8597" Properties=species:S:1:pos:R:3 pbc="T T T"
Ce 0.0000 0.0000 0.0000
Ce -1.2139 2.1001 3.4299
Pm 2.4191 0.0000 3.4299
Y 3.6330 2.1001 0.0000
As 1.2085 2.1001 1.6893
As -0.0054 0.0000 5.1697
As 4.8436 0.0000 1.6900
As 3.6297 2.1001 5.1704
```

## Properties
- SG: P2/m

---

Record 3
Computed, not measured: a relaxed CePm2Y3As6 crystal at the GGA-PBE level of DFT.

The structure in extended XYZ format:
```
12
Lattice="9.0929 -2.0915 0.0000 9.0929 2.0915 0.0000 -1.9026 0.0000 8.1348" Properties=species:S:1:pos:R:3 pbc="T T T"
Ce 0.0000 0.0000 0.0000
Pm 4.7846 0.0000 5.4084
Pm 11.4987 0.0000 2.7264
Y -0.9513 0.0000 4.0674
Y 5.7283 0.0000 1.3590
Y 10.5550 0.0000 6.7759
As 1.8831 0.0000 4.7788
As 2.8808 0.0000 0.6414
As 8.5882 0.0000 2.0383
As 7.6951 0.0000 6.0965
As 13.4025 0.0000 7.4935
As 14.4002 0.0000 3.3561
```

## Properties
- SG: C2/m

---

Record 4
Computed, not measured: a relaxed CePm2ZrAs4 crystal at the GGA-PBE level of DFT.

The structure in extended XYZ format:
```
8
Lattice="7.1473 0.0000 0.0000 0.0000 4.1291 0.0000 -2.3605 0.0000 6.7593" Properties=species:S:1:pos:R:3 pbc="T T T"
Ce 0.0000 0.0000 0.0000
Pm -1.1802 2.0645 3.3797
Pm 2.3934 0.0000 3.3797
Zr 3.5736 2.0645 0.0000
As 1.2662 2.0645 1.6175
As 0.0778 0.0000 5.1836
As 4.7090 0.0000 1.5757
As 3.5206 2.0645 5.1418
```

## Properties
- SG: P2/m

---

Record 5
Computed, not measured: a relaxed Ce2PrAs crystal at the GGA-PBE level of DFT.

The structure in extended XYZ format:
```
12
Lattice="3.8444 0.0000 0.0000 -1.9222 3.3293 0.0000 0.0000 0.0000 30.3820" Properties=species:S:1:pos:R:3 pbc="T T T"
Ce 0.0000 0.0000 3.2418
Ce 0.0000 0.0000 27.1402
Ce 0.0000 2.2195 17.0129
Ce 0.0000 2.2195 23.4965
Ce 1.9222 1.1098 6.8855
Ce 1.9222 1.1098 13.3691
Pr 0.0000 0.0000 0.0000
Pr 0.0000 2.2195 20.2547
Pr 1.9222 1.1098 10.1273
As 0.0000 0.0000 15.1910
As 0.0000 2.2195 5.0637
As 1.9222 1.1098 25.3183
```

## Properties
- SG: R-3m

---

Record 6
Computed, not measured: a relaxed CePr3As3 crystal at the GGA-PBE level of DFT.

The structure in extended XYZ format:
```
28
Lattice="9.0754 0.0000 0.0000 0.0000 9.0754 0.0000 0.0000 0.0000 9.0754" Properties=species:S:1:pos:R:3 pbc="T T T"
Ce 0.6158 3.9219 5.1534
Ce 3.9219 5.1534 0.6158
Ce 5.1534 0.6158 3.9219
Ce 8.4596 8.4596 8.4596
Pr 0.6020 5.1397 8.4734
Pr 1.6605 1.6605 1.6605
Pr 1.6678 7.4075 2.8698
Pr 2.8698 1.6678 7.4075
Pr 2.8772 7.4149 6.1982
Pr 3.9357 3.9357 3.9357
Pr 5.1397 8.4734 0.6020
Pr 6.1982 2.8772 7.4149
Pr 6.2055 6.2055 6.2055
Pr 7.4075 2.8698 1.6678
Pr 7.4149 6.1982 2.8772
Pr 8.4734 0.6020 5.1397
As 0.0125 6.7744 5.6675
As 1.1298 4.5252 2.3009
As 2.2368 7.9456 9.0629
As 2.3009 1.1298 4.5252
As 3.4079 4.5502 6.8386
As 4.5252 2.3009 1.1298
As 4.5502 6.8386 3.4079
As 5.6675 0.0125 6.7744
As 6.7744 5.6675 0.0125
As 6.8386 3.4079 4.5502
As 7.9456 9.0629 2.2368
As 9.0629 2.2368 7.9456
```

## Properties
- SG: P2_13

---

| no. | N(E_F) (states/eV/atom) | VASP energy (eV/atom) |
| --- | --- | --- |
| 1 | 0.80 | -6.796 |
| 2 | 1.40 | -6.696 |
| 3 | 0.50 | -6.756 |
| 4 | 0.83 | -6.711 |
| 5 | 2.53 | -5.662 |
| 6 | 1.58 | -6.125 |